PmPr2Sm | GGA-PBE | relaxed

Cell: 3.6929 3.6929 12.1278 Å, 81.24 81.24 60.00°
Sites, in units of the cell vectors:
Pm (0.6672, 0.6672, 0.9984)
Pr (0.0834, 0.0834, 0.7499)
Pr (0.2496, 0.2496, 0.2513)
Sm (0.4999, 0.4999, 0.5004)

Fermi-level density of states in states/eV per cell: 6.09
Energy relative to the elements in eV per atom: 0.014
Magnetic moment in μB per atom: 0.00
Total energy in eV per cell: -19.0

***

Pm8Pr5Sm | GGA-PBE | relaxed

Cell: 8.6576 8.6576 8.6576 Å, 111.10 106.26 111.10°
Sites, in units of the cell vectors:
Pm (0.1736, 0.7358, 0.0725)
Pm (0.9275, 0.1011, 0.6634)
Pm (0.7248, 0.2540, 0.3285)
Pm (0.6715, 0.3963, 0.9255)
Pm (0.5292, 0.6037, 0.2752)
Pm (0.5622, 0.8989, 0.8264)
Pm (0.3366, 0.2642, 0.4378)
Pm (0.0745, 0.7460, 0.4708)
Pr (0.0326, 0.3182, 0.1355)
Pr (0.8645, 0.8971, 0.1827)
Pr (0.8173, 0.6818, 0.7144)
Pr (0.5000, 0.0000, 0.5000)
Pr (0.2856, 0.1029, 0.9674)
Sm (0.2500, 0.5000, 0.7500)

Fermi-level density of states in states/eV per cell: 20.52
Energy relative to the elements in eV per atom: 0.225
Magnetic moment in μB per atom: 0.00
Total energy in eV per cell: -63.5

***

PmPr5Sm5 | GGA-PBE | relaxed

Cell: 6.1520 10.1132 7.1106 Å, 110.48 90.00 107.71°
Sites, in units of the cell vectors:
Pm (0.0000, 0.0000, 0.0000)
Pr (0.8252, 0.6504, 0.0687)
Pr (0.8253, 0.6505, 0.5814)
Pr (0.5000, 0.0000, 0.0000)
Pr (0.1747, 0.3495, 0.4186)
Pr (0.1748, 0.3496, 0.9313)
Sm (0.6704, 0.3408, 0.1710)
Sm (0.6249, 0.2497, 0.6256)
Sm (0.0000, 0.0000, 0.5000)
Sm (0.3751, 0.7503, 0.3744)
Sm (0.3296, 0.6592, 0.8290)

Fermi-level density of states in states/eV per cell: 18.48
Energy relative to the elements in eV per atom: 0.231
Magnetic moment in μB per atom: 0.03
Total energy in eV per cell: -49.7